1.
## NbAgOsPd2 (GGA-PBE)

Data for NbAgOsPd2 after structural relaxation.

E_tot = -0.3638 Ry per atom
ΔE_f = 9.79 eV/f.u.

Geometry as CIF:
```
data_NbAgOsPd2
_cell_length_a 4.708
_cell_length_b 4.708
_cell_length_c 4.972
_cell_angle_alpha 90.00
_cell_angle_beta 90.00
_cell_angle_gamma 90.00
_space_group_name_H-M_alt 'P 4/m m m'
_space_group_IT_number 123
_space_group_name_Hall '-P 4 2'
loop_
_atom_site_label
_atom_site_fract_x
_atom_site_fract_y
_atom_site_fract_z
Nb1 0.000 0.000 0.000
Ag1 0.000 0.000 0.500
Os1 0.500 0.500 0.500
Pd1 0.000 0.500 0.000
```

2.
## WBrCl2 (GGA-PBE)

Data for WBrCl2 after structural relaxation.

E_tot = -0.2563 Ry per atom
E above lowest polymorph = 1439.4 meV per atom
formation energy without anion corrections = 1.092 eV per atom

Geometry as CIF:
```
data_WBrCl2
_cell_length_a 5.891
_cell_length_b 8.569
_cell_length_c 3.058
_cell_angle_alpha 90.00
_cell_angle_beta 90.00
_cell_angle_gamma 90.00
_space_group_name_H-M_alt 'C m m m'
_space_group_IT_number 65
_space_group_name_Hall '-C 2 2'
loop_
_atom_site_label
_atom_site_fract_x
_atom_site_fract_y
_atom_site_fract_z
W1 0.000 0.000 0.000
Br1 0.000 0.500 0.000
Cl1 0.250 0.250 0.500
```

3.
## ErTiSnHg (GGA-PBE)

Data for ErTiSnHg after structural relaxation.

E_tot = -0.3267 Ry per atom
ΔE_f = -1.02 eV/f.u.

Geometry as CIF:
```
data_ErTiSnHg
_cell_length_a 7.128
_cell_length_b 7.128
_cell_length_c 7.128
_cell_angle_alpha 90.00
_cell_angle_beta 90.00
_cell_angle_gamma 90.00
_space_group_name_H-M_alt 'F -4 3 m'
_space_group_IT_number 216
_space_group_name_Hall 'F -4 2 3'
loop_
_atom_site_label
_atom_site_fract_x
_atom_site_fract_y
_atom_site_fract_z
Er1 0.000 0.000 0.000
Ti1 0.000 0.000 0.500
Sn1 0.250 0.250 0.750
Hg1 0.250 0.250 0.250
```

4.
## NaPrDy2Tl4 (GGA-PBE)

Data for NaPrDy2Tl4 after structural relaxation.

E_tot = -0.2493 Ry per atom
ΔE_f = -2.37 eV/f.u.

Geometry as CIF:
```
data_NaPrDy2Tl4
_cell_length_a 5.3678
_cell_length_b 5.3678
_cell_length_c 26.9446
_cell_angle_alpha 90.00
_cell_angle_beta 90.00
_cell_angle_gamma 120.00
_space_group_name_H-M_alt 'R -3 m'
_space_group_IT_number 166
_space_group_name_Hall '-R 3 2"'
loop_
_atom_site_label
_atom_site_fract_x
_atom_site_fract_y
_atom_site_fract_z
Na1 0.0000 0.0000 0.0000
Pr1 0.0000 0.0000 0.5000
Dy1 0.0000 0.0000 0.2542
Tl1 0.0000 0.0000 0.1226
Tl2 0.0000 0.0000 0.3733
```

5.
## Rb2PtI6Br (GGA-PBE)

Data for Rb2PtI6Br after structural relaxation.

E_tot = -0.1879 Ry per atom
formation energy without anion corrections = -0.661 eV per atom

Geometry as CIF:
```
data_Rb2PtI6Br
_cell_length_a 8.236
_cell_length_b 8.236
_cell_length_c 12.438
_cell_angle_alpha 90.00
_cell_angle_beta 90.00
_cell_angle_gamma 90.00
_space_group_name_H-M_alt 'I 4/m m m'
_space_group_IT_number 139
_space_group_name_Hall '-I 4 2'
loop_
_atom_site_label
_atom_site_fract_x
_atom_site_fract_y
_atom_site_fract_z
Rb1 0.000 0.500 0.250
Pt1 0.000 0.000 0.000
I1 0.000 0.000 0.216
I2 0.235 0.235 0.000
Br1 0.000 0.000 0.500
```

6.
## LaSmScAg (GGA-PBE)

Data for LaSmScAg after structural relaxation.

E_tot = -0.3430 Ry per atom
E above lowest polymorph = 131.5 meV per atom
ΔE_f = 0.16 eV/f.u.

Geometry as CIF:
```
data_LaSmScAg
_cell_length_a 7.660
_cell_length_b 7.660
_cell_length_c 7.660
_cell_angle_alpha 90.00
_cell_angle_beta 90.00
_cell_angle_gamma 90.00
_space_group_name_H-M_alt 'F -4 3 m'
_space_group_IT_number 216
_space_group_name_Hall 'F -4 2 3'
loop_
_atom_site_label
_atom_site_fract_x
_atom_site_fract_y
_atom_site_fract_z
La1 0.000 0.000 0.000
Sm1 0.000 0.000 0.500
Sc1 0.250 0.250 0.250
Ag1 0.250 0.250 0.750
```

7.
## LaTa2Mn (GGA-PBE)

Data for LaTa2Mn after structural relaxation.

E_tot = -0.6448 Ry per atom
E above lowest polymorph = 418.9 meV per atom
ΔE_f = 2.71 eV/f.u.

Geometry as CIF:
```
data_LaTa2Mn
_cell_length_a 4.100
_cell_length_b 4.100
_cell_length_c 4.912
_cell_angle_alpha 90.00
_cell_angle_beta 90.00
_cell_angle_gamma 90.00
_space_group_name_H-M_alt 'P 4/m m m'
_space_group_IT_number 123
_space_group_name_Hall '-P 4 2'
loop_
_atom_site_label
_atom_site_fract_x
_atom_site_fract_y
_atom_site_fract_z
La1 0.000 0.000 0.000
Ta1 0.000 0.500 0.500
Mn1 0.500 0.500 0.000
```

8.
## Rb3Tl2CuCl9 (GGA-PBE)

Data for Rb3Tl2CuCl9 after structural relaxation.

E_tot = -0.2281 Ry per atom
formation energy without anion corrections = -1.213 eV per atom

Geometry as CIF:
```
data_Rb3Tl2CuCl9
_cell_length_a 7.4817
_cell_length_b 7.4817
_cell_length_c 9.1970
_cell_angle_alpha 90.00
_cell_angle_beta 90.00
_cell_angle_gamma 120.00
_space_group_name_H-M_alt 'P -3 m 1'
_space_group_IT_number 164
_space_group_name_Hall '-P 3 2"'
loop_
_atom_site_label
_atom_site_fract_x
_atom_site_fract_y
_atom_site_fract_z
Rb1 0.0000 0.0000 0.0000
Rb2 0.3333 0.6667 0.6627
Tl1 0.3333 0.6667 0.1868
Cu1 0.0000 0.0000 0.5000
Cl1 0.0000 0.5000 0.0000
Cl2 0.1555 0.3110 0.3458
```

no.,M_tot (μB/f.u.)
1,1.67
2,1.72
3,1.76
4,0.00
5,0.00
6,0.01
7,2.87
8,0.00